An optimized crystal structure of KPm2PuSe4, computed with PBE-GGA.

Values from the calculation:
E_tot: -6.52 eV per atom

Cell: 7.421 4.227 7.456 Å, 90.00 108.90 90.00°
Space group P2/m (No. 10)
One atom of each set of equivalent atoms:
K (0.000, 0.000, 0.000) x1
Pm (0.000, 0.500, 0.500) x1
Pm (0.500, 0.000, 0.500) x1
Pu (0.500, 0.500, 0.000) x1
Se (0.257, 0.000, 0.746) x2
Se (0.264, 0.500, 0.266) x2